This record from Alexandria describes a relaxed structure of CsZrBiPb2. The functional is PBE-GGA.

abc: 5.825 5.825 5.758
angles: 90.00 90.00 90.00
Fractional positions:
Pb (0.000, 0.500, 0.000)
Pb (0.500, 0.000, 0.000)
Cs (0.500, 0.500, 0.500)
Bi (0.000, 0.000, 0.500)
Zr (0.000, 0.000, 0.000)

Values from the calculation:
Raw total energy in eV per cell: -21.1
Calculated formation energy in eV per atom: -0.077